No. 1
# PBE PmPr3Y3S8, relaxed
data_PmPr3Y3S8
_chemical_formula_sum 'Pm3 Pr9 Y9 S24'
_cell_length_a 7.9729
_cell_length_b 7.9729
_cell_length_c 19.8212
_cell_angle_alpha 90.00
_cell_angle_beta 90.00
_cell_angle_gamma 120.00
_space_group_name_H-M_alt 'R -3 m'
_space_group_IT_number 166
_space_group_name_Hall '-R 3 2"'
loop_
_atom_site_label
_atom_site_fract_x
_atom_site_fract_y
_atom_site_fract_z
Pm1 0.0000 0.0000 0.0000
Pr1 0.0000 0.5000 0.5000
Y1 0.0000 0.5000 0.0000
S1 0.0000 0.0000 0.2555
S2 0.0090 0.5045 0.2534
# size of the total moment = 0.00 μB/f.u.
# VASP energy = -6.81 eV/atom
# mass density = 4.98 g cm⁻³

---

No. 2
# PBE NaErHg4, relaxed
data_NaErHg4
_chemical_formula_sum 'Na2 Er2 Hg8'
_cell_length_a 4.630
_cell_length_b 8.627
_cell_length_c 7.752
_cell_angle_alpha 90.00
_cell_angle_beta 107.07
_cell_angle_gamma 90.00
_space_group_name_H-M_alt 'P 1 21/m 1'
_space_group_IT_number 11
loop_
_space_group_symop_operation_xyz
'x,y,z'
'-x,-y,-z'
'-x,y+1/2,-z'
'x,-y+1/2,z'
loop_
_atom_site_label
_atom_site_fract_x
_atom_site_fract_y
_atom_site_fract_z
Na1 0.151 0.250 0.302
Er1 0.157 0.750 0.314
Hg1 0.000 0.000 0.000
Hg2 0.322 0.503 0.646
Hg3 0.492 0.250 0.988
# size of the total moment = 0.00 μB/f.u.
# energy relative to the lowest polymorph listed for this composition = 0.0458 eV/atom
# energy of formation = -0.24 eV/atom
# mass density = 11.14 g cm⁻³

---

No. 3
# PBE GaHSe2Br, relaxed
data_GaHSe2Br
_chemical_formula_sum 'Ga1 H1 Se2 Br1'
_cell_length_a 5.016
_cell_length_b 5.016
_cell_length_c 5.384
_cell_angle_alpha 90.00
_cell_angle_beta 90.00
_cell_angle_gamma 90.00
_space_group_name_H-M_alt 'P 4/m m m'
_space_group_IT_number 123
_space_group_name_Hall '-P 4 2'
loop_
_atom_site_label
_atom_site_fract_x
_atom_site_fract_y
_atom_site_fract_z
Ga1 0.000 0.000 0.000
H1 0.500 0.500 0.500
Se1 0.000 0.500 0.000
Br1 0.000 0.000 0.500
# size of the total moment = 2.49 μB/f.u.
# energy relative to the lowest polymorph listed for this composition = 0.4329 eV/atom
# mass density = 3.78 g cm⁻³